# 1
Entry from Alexandria: an optimized crystal structure of La4Tl2I (PBE-GGA).

Output
For the size of the total moment, the calculation gives 0.000 μB per formula unit. For the density, the calculation gives 7.42 Mg/m³. For the total energy, the calculation gives -4.1311 eV/atom. Its distance to the lowest polymorph of the same formula is 0.000 eV/atom.

Cell and atoms, written as CIF:
```
data_La4Tl2I
_chemical_formula_sum 'La8 Tl4 I2'
_cell_length_a 7.171
_cell_length_b 6.679
_cell_length_c 10.715
_cell_angle_alpha 90.00
_cell_angle_beta 107.98
_cell_angle_gamma 90.00
_space_group_name_H-M_alt 'P 1 21/m 1'
_space_group_IT_number 11
_space_group_name_Hall '-P 2yb'
loop_
_atom_site_label
_atom_site_fract_x
_atom_site_fract_y
_atom_site_fract_z
La1 0.018 0.014 0.269
La2 0.411 0.750 0.547
La3 0.449 0.750 0.152
Tl1 0.099 0.250 0.008
Tl2 0.206 0.250 0.558
I1 0.399 0.750 0.844
```



# 2
Entry from Alexandria: an optimized crystal structure of La2TlI2 (PBE-GGA).

Output
For the size of the total moment, the calculation gives 0.000 μB per formula unit. For the density, the calculation gives 6.44 Mg/m³. For the total energy, the calculation gives -3.6763 eV/atom. Its distance to the lowest polymorph of the same formula is 0.385 eV/atom.

Cell and atoms, written as CIF:
```
data_La2TlI2
_chemical_formula_sum 'La4 Tl2 I4'
_cell_length_a 6.166
_cell_length_b 6.166
_cell_length_c 9.977
_cell_angle_alpha 90.00
_cell_angle_beta 90.00
_cell_angle_gamma 90.00
_space_group_name_H-M_alt 'I 4/m m m'
_space_group_IT_number 139
_space_group_name_Hall '-I 4 2'
loop_
_atom_site_label
_atom_site_fract_x
_atom_site_fract_y
_atom_site_fract_z
La1 0.000 0.500 0.250
Tl1 0.000 0.000 0.000
I1 0.000 0.000 0.327
```



# 3
Entry from Alexandria: an optimized crystal structure of La2TlI (PBE-GGA).

Output
For the size of the total moment, the calculation gives 0.000 μB per formula unit. For the density, the calculation gives 6.85 Mg/m³. For the total energy, the calculation gives -4.0809 eV/atom. Its distance to the lowest polymorph of the same formula is 0.097 eV/atom.

Cell and atoms, written as CIF:
```
data_La2TlI
_chemical_formula_sum 'La6 Tl3 I3'
_cell_length_a 4.6197
_cell_length_b 4.6197
_cell_length_c 23.9804
_cell_angle_alpha 90.00
_cell_angle_beta 90.00
_cell_angle_gamma 120.00
_space_group_name_H-M_alt 'R 3 m'
_space_group_IT_number 160
_space_group_name_Hall 'R 3 -2"'
loop_
_atom_site_label
_atom_site_fract_x
_atom_site_fract_y
_atom_site_fract_z
La1 0.0000 0.0000 0.0000
La2 0.0000 0.0000 0.1880
Tl1 0.0000 0.0000 0.5931
I1 0.0000 0.0000 0.7642
```



# 4
Entry from Alexandria: an optimized crystal structure of La4TlI4 (PBE-GGA).

Output
For the size of the total moment, the calculation gives 0.001 μB per formula unit. For the density, the calculation gives 6.69 Mg/m³. For the total energy, the calculation gives -4.0754 eV/atom.

Cell and atoms, written as CIF:
```
data_La4TlI4
_chemical_formula_sum 'La12 Tl3 I12'
_cell_length_a 5.6775
_cell_length_b 5.6775
_cell_length_c 33.8356
_cell_angle_alpha 90.00
_cell_angle_beta 90.00
_cell_angle_gamma 120.00
_space_group_name_H-M_alt 'R -3 m'
_space_group_IT_number 166
_space_group_name_Hall '-R 3 2"'
loop_
_atom_site_label
_atom_site_fract_x
_atom_site_fract_y
_atom_site_fract_z
La1 0.0000 0.0000 0.0957
La2 0.0000 0.0000 0.3039
Tl1 0.0000 0.0000 0.0000
I1 0.0000 0.0000 0.2026
I2 0.0000 0.0000 0.4035
```



# 5
Entry from Alexandria: an optimized crystal structure of La2TlI (PBE-GGA).

Output
For the size of the total moment, the calculation gives 0.000 μB per formula unit. For the density, the calculation gives 7.87 Mg/m³. For the total energy, the calculation gives -4.0398 eV/atom. Its distance to the lowest polymorph of the same formula is 0.138 eV/atom.

Cell and atoms, written as CIF:
```
data_La2TlI
_chemical_formula_sum 'La8 Tl4 I4'
_cell_length_a 8.011
_cell_length_b 8.011
_cell_length_c 8.011
_cell_angle_alpha 90.00
_cell_angle_beta 90.00
_cell_angle_gamma 90.00
_space_group_name_H-M_alt 'F m -3 m'
_space_group_IT_number 225
_space_group_name_Hall '-F 4 2 3'
loop_
_atom_site_label
_atom_site_fract_x
_atom_site_fract_y
_atom_site_fract_z
La1 0.250 0.250 0.250
Tl1 0.000 0.000 0.000
I1 0.000 0.000 0.500
```



# 6
Entry from Alexandria: an optimized crystal structure of La5TlI5 (PBE-GGA).

Output
For the size of the total moment, the calculation gives 0.000 μB per formula unit. For the density, the calculation gives 6.35 Mg/m³. For the total energy, the calculation gives -4.1765 eV/atom.

Cell and atoms, written as CIF:
```
data_La5TlI5
_chemical_formula_sum 'La5 Tl1 I5'
_cell_length_a 6.419
_cell_length_b 7.773
_cell_length_c 9.312
_cell_angle_alpha 107.07
_cell_angle_beta 90.03
_cell_angle_gamma 114.19
_space_group_name_H-M_alt 'P -1'
_space_group_IT_number 2
_space_group_name_Hall '-P 1'
loop_
_atom_site_label
_atom_site_fract_x
_atom_site_fract_y
_atom_site_fract_z
La1 0.000 0.000 0.000
La2 0.321 0.641 0.145
La3 0.337 0.672 0.679
Tl1 0.500 0.000 0.000
I1 0.150 0.300 0.802
I2 0.156 0.314 0.345
I3 0.500 0.000 0.500
```